(1)
A plane-wave DFT calculation with PBE was carried out for ZnIn2As after structural relaxation.

Cell and atoms, written as CIF:
```
data_ZnIn2As
_chemical_formula_sum 'Zn1 In2 As1'
_cell_length_a 3.3755
_cell_length_b 3.3755
_cell_length_c 7.9410
_cell_angle_alpha 90.00
_cell_angle_beta 90.00
_cell_angle_gamma 90.00
_symmetry_space_group_name_H-M 'P 4/m m m'
_symmetry_Int_Tables_number 123
_symmetry_space_group_name_Hall '-P 4 2'
loop_
_atom_site_label
_atom_site_type_symbol
_atom_site_fract_x
_atom_site_fract_y
_atom_site_fract_z
Zn1 Zn 0.0000 0.0000 0.0000
In1 In 0.5000 0.5000 0.2506
As1 As 0.0000 0.0000 0.5000
```

raw total energy: -0.09951 Ha/atom
calculated formation energy: 0.1422 eV per atom


(2)
A plane-wave DFT calculation with PBE was carried out for HoEr3Pb2 after structural relaxation.

Cell and atoms, written as CIF:
```
data_HoEr3Pb2
_chemical_formula_sum 'Ho1 Er3 Pb2'
_cell_length_a 4.5360
_cell_length_b 4.5360
_cell_length_c 8.4733
_cell_angle_alpha 90.00
_cell_angle_beta 90.00
_cell_angle_gamma 90.00
_symmetry_space_group_name_H-M 'P -4 m 2'
_symmetry_Int_Tables_number 115
loop_
_symmetry_equiv_pos_as_xyz
'x,y,z'
'y,-x,-z'
'-x,-y,z'
'-y,x,-z'
'-x,y,z'
'-y,-x,-z'
'x,-y,z'
'y,x,-z'
loop_
_atom_site_label
_atom_site_type_symbol
_atom_site_fract_x
_atom_site_fract_y
_atom_site_fract_z
Ho1 Ho 0.0000 0.0000 0.0000
Er1 Er 0.0000 0.5000 0.3397
Er2 Er 0.5000 0.5000 0.0000
Pb1 Pb 0.0000 0.5000 0.7138
```

raw total energy: -0.17188 Ha/atom
calculated formation energy: -0.3965 eV per atom


(3)
A plane-wave DFT calculation with PBE was carried out for Hf2BeBi after structural relaxation.

Cell and atoms, written as CIF:
```
data_Hf2BeBi
_chemical_formula_sum 'Hf8 Be4 Bi4'
_cell_length_a 6.8902
_cell_length_b 6.8902
_cell_length_c 6.8902
_cell_angle_alpha 90.00
_cell_angle_beta 90.00
_cell_angle_gamma 90.00
_symmetry_space_group_name_H-M 'F m -3 m'
_symmetry_Int_Tables_number 225
_symmetry_space_group_name_Hall '-F 4 2 3'
loop_
_atom_site_label
_atom_site_type_symbol
_atom_site_fract_x
_atom_site_fract_y
_atom_site_fract_z
Hf1 Hf 0.2500 0.2500 0.2500
Be1 Be 0.0000 0.0000 0.0000
Bi1 Bi 0.0000 0.0000 0.5000
```

raw total energy: -0.23994 Ha/atom
calculated formation energy: 0.3495 eV per atom


(4)
A plane-wave DFT calculation with PBE was carried out for TbPmRu2 after structural relaxation.

Cell and atoms, written as CIF:
```
data_TbPmRu2
_chemical_formula_sum 'Tb1 Pm1 Ru2'
_cell_length_a 3.4491
_cell_length_b 3.4491
_cell_length_c 6.9035
_cell_angle_alpha 90.00
_cell_angle_beta 90.00
_cell_angle_gamma 90.00
_symmetry_space_group_name_H-M 'P 4/m m m'
_symmetry_Int_Tables_number 123
_symmetry_space_group_name_Hall '-P 4 2'
loop_
_atom_site_label
_atom_site_type_symbol
_atom_site_fract_x
_atom_site_fract_y
_atom_site_fract_z
Tb1 Tb 0.0000 0.0000 0.0000
Pm1 Pm 0.0000 0.0000 0.5000
Ru1 Ru 0.5000 0.5000 0.2452
```

raw total energy: -0.26400 Ha/atom
calculated formation energy: -0.2008 eV per atom


(5)
A plane-wave DFT calculation with PBE was carried out for Al3HgB after structural relaxation.

Cell and atoms, written as CIF:
```
data_Al3HgB
_chemical_formula_sum 'Al3 Hg1 B1'
_cell_length_a 4.9965
_cell_length_b 4.9965
_cell_length_c 4.9965
_cell_angle_alpha 90.00
_cell_angle_beta 90.00
_cell_angle_gamma 90.00
_symmetry_space_group_name_H-M 'P m -3 m'
_symmetry_Int_Tables_number 221
_symmetry_space_group_name_Hall '-P 4 2 3'
loop_
_atom_site_label
_atom_site_type_symbol
_atom_site_fract_x
_atom_site_fract_y
_atom_site_fract_z
Al1 Al 0.0000 0.0000 0.5000
Hg1 Hg 0.0000 0.0000 0.0000
B1 B 0.5000 0.5000 0.5000
```

raw total energy: -0.07729 Ha/atom
calculated formation energy: 1.5383 eV per atom


(6)
A plane-wave DFT calculation with PBE was carried out for TlNi2Pb after structural relaxation.

Cell and atoms, written as CIF:
```
data_TlNi2Pb
_chemical_formula_sum 'Tl4 Ni8 Pb4'
_cell_length_a 6.7469
_cell_length_b 6.7469
_cell_length_c 6.7469
_cell_angle_alpha 90.00
_cell_angle_beta 90.00
_cell_angle_gamma 90.00
_symmetry_space_group_name_H-M 'F -4 3 m'
_symmetry_Int_Tables_number 216
_symmetry_space_group_name_Hall 'F -4 2 3'
loop_
_atom_site_label
_atom_site_type_symbol
_atom_site_fract_x
_atom_site_fract_y
_atom_site_fract_z
Tl1 Tl 0.0000 0.0000 0.0000
Ni1 Ni 0.0000 0.0000 0.5000
Ni2 Ni 0.2500 0.2500 0.7500
Pb1 Pb 0.2500 0.2500 0.2500
```

raw total energy: -0.14027 Ha/atom
calculated formation energy: 0.5925 eV per atom


(7)
A plane-wave DFT calculation with PBE was carried out for ErCuPbCl6 after structural relaxation.

Cell and atoms, written as CIF:
```
data_ErCuPbCl6
_chemical_formula_sum 'Er2 Cu2 Pb2 Cl12'
_cell_length_a 6.6301
_cell_length_b 6.6301
_cell_length_c 12.8902
_cell_angle_alpha 90.00
_cell_angle_beta 90.00
_cell_angle_gamma 120.00
_symmetry_space_group_name_H-M 'P -3 1 c'
_symmetry_Int_Tables_number 163
_symmetry_space_group_name_Hall '-P 3 2c'
loop_
_atom_site_label
_atom_site_type_symbol
_atom_site_fract_x
_atom_site_fract_y
_atom_site_fract_z
Er1 Er 0.3333 0.6667 0.2500
Cu1 Cu 0.3333 0.6667 0.7500
Pb1 Pb 0.0000 0.0000 0.0000
Cl1 Cl 0.0081 0.3613 0.6352
```

raw total energy: -0.14893 Ha/atom


(8)
A plane-wave DFT calculation with PBE was carried out for Be2ReOs after structural relaxation.

Cell and atoms, written as CIF:
```
data_Be2ReOs
_chemical_formula_sum 'Be4 Re2 Os2'
_cell_length_a 2.8342
_cell_length_b 4.4240
_cell_length_c 7.7578
_cell_angle_alpha 90.00
_cell_angle_beta 90.00
_cell_angle_gamma 90.00
_symmetry_space_group_name_H-M 'I m m m'
_symmetry_Int_Tables_number 71
_symmetry_space_group_name_Hall '-I 2 2'
loop_
_atom_site_label
_atom_site_type_symbol
_atom_site_fract_x
_atom_site_fract_y
_atom_site_fract_z
Be1 Be 0.0000 0.0000 0.2441
Re1 Re 0.0000 0.5000 0.0000
Os1 Os 0.0000 0.5000 0.5000
```

raw total energy: -0.28142 Ha/atom
calculated formation energy: 0.1248 eV per atom


(9)
A plane-wave DFT calculation with PBE was carried out for SrSbRu2 after structural relaxation.

Cell and atoms, written as CIF:
```
data_SrSbRu2
_chemical_formula_sum 'Sr2 Sb2 Ru4'
_cell_length_a 6.3397
_cell_length_b 9.0178
_cell_length_c 3.1162
_cell_angle_alpha 90.00
_cell_angle_beta 117.11
_cell_angle_gamma 90.00
_symmetry_space_group_name_H-M 'C 1 2/m 1'
_symmetry_Int_Tables_number 12
loop_
_symmetry_equiv_pos_as_xyz
'x,y,z'
'-x,-y,-z'
'-x,y,-z'
'x,-y,z'
'x+1/2,y+1/2,z'
'-x+1/2,-y+1/2,-z'
'-x+1/2,y+1/2,-z'
'x+1/2,-y+1/2,z'
loop_
_atom_site_label
_atom_site_type_symbol
_atom_site_fract_x
_atom_site_fract_y
_atom_site_fract_z
Sr1 Sr 0.0000 0.0000 0.0000
Sb1 Sb 0.0000 0.5000 0.0000
Ru1 Ru 0.2500 0.2500 0.5000
```

raw total energy: -0.20426 Ha/atom


(10)
A plane-wave DFT calculation with PBE was carried out for V2Zn2In after structural relaxation.

Cell and atoms, written as CIF:
```
data_V2Zn2In
_chemical_formula_sum 'V4 Zn4 In2'
_cell_length_a 6.9550
_cell_length_b 6.9550
_cell_length_c 3.3268
_cell_angle_alpha 90.00
_cell_angle_beta 90.00
_cell_angle_gamma 90.00
_symmetry_space_group_name_H-M 'P 4/m b m'
_symmetry_Int_Tables_number 127
_symmetry_space_group_name_Hall '-P 4 2ab'
loop_
_atom_site_label
_atom_site_type_symbol
_atom_site_fract_x
_atom_site_fract_y
_atom_site_fract_z
V1 V 0.1680 0.3320 0.0000
Zn1 Zn 0.1263 0.6263 0.5000
In1 In 0.0000 0.0000 0.5000
```

raw total energy: -0.16341 Ha/atom
calculated formation energy: 0.2581 eV per atom


(11)
A plane-wave DFT calculation with PBE was carried out for VOs3 after structural relaxation.

Cell and atoms, written as CIF:
```
data_VOs3
_chemical_formula_sum 'V2 Os6'
_cell_length_a 3.8313
_cell_length_b 3.8313
_cell_length_c 7.7098
_cell_angle_alpha 90.00
_cell_angle_beta 90.00
_cell_angle_gamma 90.00
_symmetry_space_group_name_H-M 'I 4/m m m'
_symmetry_Int_Tables_number 139
_symmetry_space_group_name_Hall '-I 4 2'
loop_
_atom_site_label
_atom_site_type_symbol
_atom_site_fract_x
_atom_site_fract_y
_atom_site_fract_z
V1 V 0.0000 0.0000 0.0000
Os1 Os 0.0000 0.0000 0.5000
Os2 Os 0.0000 0.5000 0.2500
```

raw total energy: -0.39512 Ha/atom
calculated formation energy: -0.0497 eV per atom


(12)
A plane-wave DFT calculation with PBE was carried out for Ba4TcNi after structural relaxation.

Cell and atoms, written as CIF:
```
data_Ba4TcNi
_chemical_formula_sum 'Ba16 Tc4 Ni4'
_cell_length_a 9.8234
_cell_length_b 9.8234
_cell_length_c 9.8234
_cell_angle_alpha 90.00
_cell_angle_beta 90.00
_cell_angle_gamma 90.00
_symmetry_space_group_name_H-M 'F -4 3 m'
_symmetry_Int_Tables_number 216
_symmetry_space_group_name_Hall 'F -4 2 3'
loop_
_atom_site_label
_atom_site_type_symbol
_atom_site_fract_x
_atom_site_fract_y
_atom_site_fract_z
Ba1 Ba 0.1250 0.1250 0.1250
Tc1 Tc 0.0000 0.0000 0.5000
Ni1 Ni 0.2500 0.2500 0.7500
```

raw total energy: -0.09474 Ha/atom
calculated formation energy: 1.3950 eV per atom


(13)
A plane-wave DFT calculation with PBE was carried out for CdCuSiPd2 after structural relaxation.

Cell and atoms, written as CIF:
```
data_CdCuSiPd2
_chemical_formula_sum 'Cd1 Cu1 Si1 Pd2'
_cell_length_a 4.5632
_cell_length_b 4.5632
_cell_length_c 4.3725
_cell_angle_alpha 90.00
_cell_angle_beta 90.00
_cell_angle_gamma 90.00
_symmetry_space_group_name_H-M 'P 4/m m m'
_symmetry_Int_Tables_number 123
_symmetry_space_group_name_Hall '-P 4 2'
loop_
_atom_site_label
_atom_site_type_symbol
_atom_site_fract_x
_atom_site_fract_y
_atom_site_fract_z
Cd1 Cd 0.0000 0.0000 0.0000
Cu1 Cu 0.5000 0.5000 0.0000
Si1 Si 0.5000 0.5000 0.5000
Pd1 Pd 0.0000 0.5000 0.5000
```

raw total energy: -0.15338 Ha/atom